# 1
Compound: Cs2CaCu2Br6
Source: Alexandria
Functional: PBE
Structure: relaxed

abc: 7.8549 7.8869 8.6306
angles: 115.36 90.00 119.87
Last column: nearest neighbours and their distance in Å.
Fractional coordinates of all 11 atoms:
Br 0.2566 0.5132 0.3460  1 Cu 2.37
Br 0.2942 0.0757 0.7791  1 Cu 2.37
Br 0.7434 0.4868 0.6540  1 Cu 2.37
Br 0.7815 0.0757 0.7791  1 Cu 2.37
Br 0.7058 0.9243 0.2209  1 Cu 2.37
Br 0.2185 0.9243 0.2209  1 Cu 2.37
Cs 0.7180 0.4360 0.2030  9 Br 3.73-4.07, 1 Cu 4.06
Cs 0.2820 0.5640 0.7970  9 Br 3.73-4.07, 1 Cu 4.06
Ca 0.5000 0.0000 0.5000  6 Br 2.91-2.92
Cu 0.0636 0.1271 0.2640  3 Br 2.37
Cu 0.9364 0.8729 0.7360  3 Br 2.37

Output
Total magnetic moment (μB per formula unit): 0.1
ΔE_f (raw) (eV/atom): -1.30
Total energy (eV/cell): -36.277
ρ (Mg/m³): 3.76
Space-group type: C2/m, No. 12



# 2
Compound: TiMnPt4
Source: Alexandria
Functional: PBE
Structure: relaxed

abc: 3.8985 4.4084 7.1073
angles: 83.29 74.08 63.76
Last column: nearest neighbours and their distance in Å.
Fractional coordinates of all 6 atoms:
Mn 0.0000 0.0000 0.0000  8 Pt 2.60-2.61
Pt 0.6263 0.6217 0.1257  3 Mn 2.60-2.61, 1 Ti 2.61, 4 Pt 2.77
Pt 0.3737 0.3783 0.8743  3 Mn 2.60-2.61, 1 Ti 2.61, 4 Pt 2.77
Pt 0.1246 0.1236 0.6273  1 Mn 2.60, 3 Ti 2.60-2.61, 4 Pt 2.77-2.79
Pt 0.8754 0.8764 0.3727  1 Mn 2.60, 3 Ti 2.60-2.61, 4 Pt 2.77-2.79
Ti 0.5000 0.5000 0.5000  8 Pt 2.60-2.61

Output
Total magnetic moment (μB per formula unit): 3.9
Total energy (eV/cell): -43.827
ρ (Mg/m³): 13.92
Space-group type: C2/m, No. 12
Energy above the most stable polymorph in this dataset (meV per atom): 195



# 3
Compound: Y2AsSe
Source: Alexandria
Functional: PBE
Structure: relaxed

abc: 4.7030 5.4560 3.6063
angles: 90.00 90.00 90.00
Last column: nearest neighbours and their distance in Å.
Fractional coordinates of all 4 atoms:
Y 0.0000 0.0000 0.0000  4 As 2.96, 4 Se 3.27
Y 0.5000 0.5000 0.0000  4 Se 2.96, 4 As 3.27
As 0.5000 0.0000 0.5000  8 Y 2.96-3.27
Se 0.0000 0.5000 0.5000  8 Y 2.96-3.27

Output
Total magnetic moment (μB per formula unit): 0.0
ΔE_f (raw) (eV/atom): -1.30
Total energy (eV/cell): -26.271
ρ (Mg/m³): 5.95
Space-group type: Pmmm, No. 47
Energy above the most stable polymorph in this dataset (meV per atom): 423